Here is a relaxed BeCr2O2 crystal from Alexandria. Energies are from PBE+U.

Unit cell a=4.354 b=4.354 c=7.529 alpha=90.00 beta=90.00 gamma=90.00
Space group I4/mmm (No. 139)
Symmetry-distinct sites (fractional):
Be: 0.000 0.000 0.000 [2 per cell]
Cr: 0.000 0.500 0.250 [4 per cell]
O: 0.000 0.000 0.202 [4 per cell]

Values from the calculation:
As for the crystal system: tetragonal. The total energy is -6.678 eV/atom. For the density of states at the Fermi level, the calculation gives 6.21 states/eV/cell.